# Nd2GdSn (PBE-GGA, relaxed)
data_Nd2GdSn
_chemical_formula_sum 'Nd2 Gd1 Sn1'
_cell_length_a 4.266
_cell_length_b 4.266
_cell_length_c 6.819
_cell_angle_alpha 90.00
_cell_angle_beta 90.00
_cell_angle_gamma 90.00
_symmetry_space_group_name_H-M 'P 4/m m m'
_symmetry_Int_Tables_number 123
_symmetry_space_group_name_Hall '-P 4 2'
loop_
_atom_site_label
_atom_site_fract_x
_atom_site_fract_y
_atom_site_fract_z
Nd1 0.000 0.000 0.230
Gd1 0.500 0.500 0.500
Sn1 0.500 0.500 0.000
# crystal system: tetragonal

---

# NdGd2Sn (PBE-GGA, relaxed)
data_NdGd2Sn
_chemical_formula_sum 'Nd1 Gd2 Sn1'
_cell_length_a 4.133
_cell_length_b 4.133
_cell_length_c 7.084
_cell_angle_alpha 90.00
_cell_angle_beta 90.00
_cell_angle_gamma 90.00
_symmetry_space_group_name_H-M 'P 4/m m m'
_symmetry_Int_Tables_number 123
_symmetry_space_group_name_Hall '-P 4 2'
loop_
_atom_site_label
_atom_site_fract_x
_atom_site_fract_y
_atom_site_fract_z
Nd1 0.000 0.000 0.000
Gd1 0.500 0.500 0.281
Sn1 0.000 0.000 0.500
# crystal system: tetragonal

---

# NdGd2Sn (PBE-GGA, relaxed)
data_NdGd2Sn
_chemical_formula_sum 'Nd4 Gd8 Sn4'
_cell_length_a 7.772
_cell_length_b 7.772
_cell_length_c 7.772
_cell_angle_alpha 90.00
_cell_angle_beta 90.00
_cell_angle_gamma 90.00
_symmetry_space_group_name_H-M 'F m -3 m'
_symmetry_Int_Tables_number 225
_symmetry_space_group_name_Hall '-F 4 2 3'
loop_
_atom_site_label
_atom_site_fract_x
_atom_site_fract_y
_atom_site_fract_z
Nd1 0.000 0.000 0.000
Gd1 0.250 0.250 0.250
Sn1 0.000 0.000 0.500
# crystal system: cubic

---

# NdGdSn (PBE-GGA, relaxed)
data_NdGdSn
_chemical_formula_sum 'Nd2 Gd2 Sn2'
_cell_length_a 4.163
_cell_length_b 4.163
_cell_length_c 10.134
_cell_angle_alpha 90.00
_cell_angle_beta 90.00
_cell_angle_gamma 90.00
_symmetry_space_group_name_H-M 'I 4 m m'
_symmetry_Int_Tables_number 107
_symmetry_space_group_name_Hall 'I 4 -2'
loop_
_atom_site_label
_atom_site_fract_x
_atom_site_fract_y
_atom_site_fract_z
Nd1 0.000 0.000 0.000
Gd1 0.000 0.000 0.692
Sn1 0.000 0.000 0.342
# crystal system: tetragonal

---

# NdGd2Sn (PBE-GGA, relaxed)
data_NdGd2Sn
_chemical_formula_sum 'Nd3 Gd6 Sn3'
_cell_length_a 3.5074
_cell_length_b 3.5074
_cell_length_c 35.7387
_cell_angle_alpha 90.00
_cell_angle_beta 90.00
_cell_angle_gamma 120.00
_symmetry_space_group_name_H-M 'R -3 m'
_symmetry_Int_Tables_number 166
_symmetry_space_group_name_Hall '-R 3 2"'
loop_
_atom_site_label
_atom_site_fract_x
_atom_site_fract_y
_atom_site_fract_z
Nd1 0.0000 0.0000 0.0000
Gd1 0.0000 0.0000 0.0951
Sn1 0.0000 0.0000 0.5000
# crystal system: trigonal

---

# NdGd2Sn (PBE-GGA, relaxed)
data_NdGd2Sn
_chemical_formula_sum 'Nd1 Gd2 Sn1'
_cell_length_a 4.891
_cell_length_b 4.891
_cell_length_c 4.876
_cell_angle_alpha 90.00
_cell_angle_beta 90.00
_cell_angle_gamma 90.00
_symmetry_space_group_name_H-M 'P 4/m m m'
_symmetry_Int_Tables_number 123
_symmetry_space_group_name_Hall '-P 4 2'
loop_
_atom_site_label
_atom_site_fract_x
_atom_site_fract_y
_atom_site_fract_z
Nd1 0.000 0.000 0.000
Gd1 0.000 0.500 0.500
Sn1 0.500 0.500 0.000
# crystal system: tetragonal

---

# TbNdGdSn (PBE-GGA, relaxed)
data_TbNdGdSn
_chemical_formula_sum 'Tb4 Nd4 Gd4 Sn4'
_cell_length_a 7.772
_cell_length_b 7.772
_cell_length_c 7.772
_cell_angle_alpha 90.00
_cell_angle_beta 90.00
_cell_angle_gamma 90.00
_symmetry_space_group_name_H-M 'F -4 3 m'
_symmetry_Int_Tables_number 216
_symmetry_space_group_name_Hall 'F -4 2 3'
loop_
_atom_site_label
_atom_site_fract_x
_atom_site_fract_y
_atom_site_fract_z
Tb1 0.000 0.000 0.000
Nd1 0.250 0.250 0.250
Gd1 0.250 0.250 0.750
Sn1 0.000 0.000 0.500
# crystal system: cubic

---

# NdGdTlSn (PBE-GGA, relaxed)
data_NdGdTlSn
_chemical_formula_sum 'Nd4 Gd4 Tl4 Sn4'
_cell_length_a 7.716
_cell_length_b 7.716
_cell_length_c 7.716
_cell_angle_alpha 90.00
_cell_angle_beta 90.00
_cell_angle_gamma 90.00
_symmetry_space_group_name_H-M 'F -4 3 m'
_symmetry_Int_Tables_number 216
_symmetry_space_group_name_Hall 'F -4 2 3'
loop_
_atom_site_label
_atom_site_fract_x
_atom_site_fract_y
_atom_site_fract_z
Nd1 0.000 0.000 0.000
Gd1 0.000 0.000 0.500
Tl1 0.250 0.250 0.750
Sn1 0.250 0.250 0.250
# crystal system: cubic

---

# SrNdGd4 (PBE-GGA, relaxed)
data_SrNdGd4
_chemical_formula_sum 'Sr4 Nd4 Gd16'
_cell_length_a 9.638
_cell_length_b 9.638
_cell_length_c 9.638
_cell_angle_alpha 90.00
_cell_angle_beta 90.00
_cell_angle_gamma 90.00
_symmetry_space_group_name_H-M 'F -4 3 m'
_symmetry_Int_Tables_number 216
_symmetry_space_group_name_Hall 'F -4 2 3'
loop_
_atom_site_label
_atom_site_fract_x
_atom_site_fract_y
_atom_site_fract_z
Sr1 0.000 0.000 0.000
Nd1 0.250 0.250 0.250
Gd1 0.122 0.122 0.622
# crystal system: cubic

---

# SrNdGd (PBE-GGA, relaxed)
data_SrNdGd
_chemical_formula_sum 'Sr2 Nd2 Gd2'
_cell_length_a 3.781
_cell_length_b 3.781
_cell_length_c 16.334
_cell_angle_alpha 90.00
_cell_angle_beta 90.00
_cell_angle_gamma 90.00
_symmetry_space_group_name_H-M 'I 4 m m'
_symmetry_Int_Tables_number 107
_symmetry_space_group_name_Hall 'I 4 -2'
loop_
_atom_site_label
_atom_site_fract_x
_atom_site_fract_y
_atom_site_fract_z
Sr1 0.000 0.000 0.000
Nd1 0.000 0.000 0.320
Gd1 0.000 0.000 0.680
# crystal system: tetragonal

---

# SrNdGd (PBE-GGA, relaxed)
data_SrNdGd
_chemical_formula_sum 'Sr1 Nd1 Gd1'
_cell_length_a 3.7879
_cell_length_b 3.7879
_cell_length_c 9.4125
_cell_angle_alpha 90.00
_cell_angle_beta 90.00
_cell_angle_gamma 120.00
_symmetry_space_group_name_H-M 'P 3 m 1'
_symmetry_Int_Tables_number 156
loop_
_symmetry_equiv_pos_as_xyz
'x,y,z'
'-y,x-y,z'
'-x+y,-x,z'
'-y,-x,z'
'-x+y,y,z'
'x,x-y,z'
loop_
_atom_site_label
_atom_site_fract_x
_atom_site_fract_y
_atom_site_fract_z
Sr1 0.0000 0.0000 0.0000
Nd1 0.3333 0.6667 0.6454
Gd1 0.6667 0.3333 0.3507
# crystal system: trigonal

---

# Tb2NdGd (PBE-GGA, relaxed)
data_Tb2NdGd
_chemical_formula_sum 'Tb2 Nd1 Gd1'
_cell_length_a 5.090
_cell_length_b 5.090
_cell_length_c 5.070
_cell_angle_alpha 90.00
_cell_angle_beta 90.00
_cell_angle_gamma 90.00
_symmetry_space_group_name_H-M 'P 4/m m m'
_symmetry_Int_Tables_number 123
_symmetry_space_group_name_Hall '-P 4 2'
loop_
_atom_site_label
_atom_site_fract_x
_atom_site_fract_y
_atom_site_fract_z
Tb1 0.000 0.500 0.000
Nd1 0.000 0.000 0.500
Gd1 0.500 0.500 0.500
# crystal system: tetragonal

---

# TbNdGd2 (PBE-GGA, relaxed)
data_TbNdGd2
_chemical_formula_sum 'Tb1 Nd1 Gd2'
_cell_length_a 3.604
_cell_length_b 3.604
_cell_length_c 10.173
_cell_angle_alpha 90.00
_cell_angle_beta 90.00
_cell_angle_gamma 90.00
_symmetry_space_group_name_H-M 'P 4/m m m'
_symmetry_Int_Tables_number 123
_symmetry_space_group_name_Hall '-P 4 2'
loop_
_atom_site_label
_atom_site_fract_x
_atom_site_fract_y
_atom_site_fract_z
Tb1 0.000 0.000 0.000
Nd1 0.000 0.000 0.500
Gd1 0.500 0.500 0.246
# crystal system: tetragonal

---

# TbNdGd2 (PBE-GGA, relaxed)
data_TbNdGd2
_chemical_formula_sum 'Tb1 Nd1 Gd2'
_cell_length_a 5.086
_cell_length_b 5.086
_cell_length_c 5.096
_cell_angle_alpha 90.00
_cell_angle_beta 90.00
_cell_angle_gamma 90.00
_symmetry_space_group_name_H-M 'P 4/m m m'
_symmetry_Int_Tables_number 123
_symmetry_space_group_name_Hall '-P 4 2'
loop_
_atom_site_label
_atom_site_fract_x
_atom_site_fract_y
_atom_site_fract_z
Tb1 0.000 0.000 0.000
Nd1 0.500 0.500 0.000
Gd1 0.000 0.500 0.500
# crystal system: tetragonal

---

# TbNdGd2 (PBE-GGA, relaxed)
data_TbNdGd2
_chemical_formula_sum 'Tb3 Nd3 Gd6'
_cell_length_a 3.5998
_cell_length_b 3.5998
_cell_length_c 35.2977
_cell_angle_alpha 90.00
_cell_angle_beta 90.00
_cell_angle_gamma 120.00
_symmetry_space_group_name_H-M 'R -3 m'
_symmetry_Int_Tables_number 166
_symmetry_space_group_name_Hall '-R 3 2"'
loop_
_atom_site_label
_atom_site_fract_x
_atom_site_fract_y
_atom_site_fract_z
Tb1 0.0000 0.0000 0.0000
Nd1 0.0000 0.0000 0.5000
Gd1 0.0000 0.0000 0.2511
# crystal system: trigonal

---

Number 1: ΔE_f -0.36 eV/atom. Number 2: ΔE_f -0.34 eV/atom. Number 3: ΔE_f -0.27 eV/atom. Number 4: ΔE_f -0.50 eV/atom. Number 5: ΔE_f -0.06 eV/atom. Number 6: ΔE_f -0.45 eV/atom. Number 7: ΔE_f -0.27 eV/atom. Number 8: ΔE_f -0.50 eV/atom. Number 9: ΔE_f 0.24 eV/atom. Number 10: ΔE_f 0.09 eV/atom. Number 11: ΔE_f 0.11 eV/atom. Number 12: ΔE_f 0.01 eV/atom. Number 13: ΔE_f 0.02 eV/atom. Number 14: ΔE_f 0.02 eV/atom. Number 15: ΔE_f 0.02 eV/atom.